First-principles (PBE-GGA) data for BeI2O6 after structural relaxation, as listed in the Alexandria database.

The calculation puts the uncorrected formation energy at -0.803 eV per atom. The density of states at the Fermi level is 0.00 states/eV per cell.

Cell: 9.321 14.508 4.769 Å, 90.00 114.80 90.00°
Space group C2/c (No. 15)
One atom of each set of equivalent atoms:
Be 0.000 0.199 0.250 (multiplicity 4)
I 0.187 0.381 0.237 (multiplicity 8)
O 0.100 0.131 0.543 (multiplicity 8)
O 0.124 0.261 0.163 (multiplicity 8)
O 0.130 0.414 0.549 (multiplicity 8)